The following is a DFT calculation (PBE) of an optimized crystal structure of NaLaWN3.

## Properties
Raw formation energy   -3.52 eV per formula unit
Space group   Immm (71)

Cell and atoms, written as POSCAR:
```
NaLaWN3
1.0
3.966 0.000 0.000
-1.983 7.259 -0.601
0.000 -2.710 6.293
Na La W N
2 2 2 6
direct
0.387 0.773 0.887 Na
0.613 0.227 0.113 Na
0.689 0.378 0.689 La
0.311 0.622 0.311 La
0.000 0.000 0.296 W
0.000 0.000 0.704 W
0.852 0.705 0.082 N
0.852 0.705 0.624 N
0.500 0.000 0.313 N
0.148 0.295 0.376 N
0.500 0.000 0.687 N
0.148 0.295 0.918 N
```

---

The following is a DFT calculation (PBE) of an optimized crystal structure of La2NbN3.

## Properties
Raw formation energy   -7.50 eV per formula unit
Space group   C2/c (15)
Polymorph energy (0 for the lowest one)   0.000 eV/atom

Cell and atoms, written as POSCAR:
```
La2NbN3
1.0
5.620 0.000 0.445
2.810 5.672 0.222
0.057 0.000 12.630
La Nb N
8 4 12
direct
0.584 0.399 0.360 La
0.017 0.399 0.140 La
0.416 0.601 0.640 La
0.983 0.601 0.860 La
0.342 0.773 0.077 La
0.885 0.773 0.423 La
0.658 0.227 0.923 La
0.115 0.227 0.577 La
0.703 0.006 0.171 Nb
0.291 0.006 0.329 Nb
0.297 0.994 0.829 Nb
0.709 0.994 0.671 Nb
0.640 0.720 0.250 N
0.360 0.280 0.750 N
0.522 0.339 0.115 N
0.139 0.339 0.385 N
0.478 0.661 0.885 N
0.861 0.661 0.615 N
0.665 0.203 0.543 N
0.132 0.203 0.957 N
0.335 0.797 0.457 N
0.868 0.797 0.043 N
0.992 0.015 0.250 N
0.008 0.985 0.750 N
```

---

The following is a DFT calculation (PBE) of an optimized crystal structure of La4NbN5.

## Properties
Raw formation energy   -12.67 eV per formula unit
Space group   I4 (79)

Cell and atoms, written as POSCAR:
```
La4NbN5
1.0
5.333 0.000 0.000
2.667 5.640 0.000
2.667 0.000 5.640
La Nb N
4 1 5
direct
0.392 0.412 0.805 La
0.805 0.805 0.588 La
0.197 0.195 0.412 La
0.610 0.588 0.195 La
0.058 0.000 0.000 Nb
0.919 0.350 0.827 N
0.268 0.827 0.650 N
0.746 0.173 0.350 N
0.096 0.650 0.173 N
0.419 0.000 0.000 N
```

---

The following is a DFT calculation (PBE) of an optimized crystal structure of La2Nb2N3.

## Properties
Raw formation energy   -7.71 eV per formula unit
Space group   C2/m (12)

Cell and atoms, written as POSCAR:
```
La2Nb2N3
1.0
-3.207 1.274 0.525
-1.940 -2.895 -4.832
1.163 -3.877 4.912
La Nb N
2 2 3
direct
0.609 0.823 0.218 La
0.391 0.177 0.782 La
0.842 0.670 0.684 Nb
0.158 0.330 0.316 Nb
0.000 0.000 0.000 N
0.745 0.271 0.491 N
0.255 0.729 0.509 N
```

---

The following is a DFT calculation (PBE) of an optimized crystal structure of La2NbN3.

## Properties
Raw formation energy   -6.82 eV per formula unit
Space group   C2/c (15)
Polymorph energy (0 for the lowest one)   0.113 eV/atom

Cell and atoms, written as POSCAR:
```
La2NbN3
1.0
5.773 -0.318 -0.227
0.350 6.028 0.196
0.350 2.154 5.633
La Nb N
4 2 6
direct
0.749 0.171 0.486 La
0.249 0.486 0.171 La
0.751 0.514 0.829 La
0.251 0.829 0.514 La
0.750 0.905 0.095 Nb
0.250 0.095 0.905 Nb
0.250 0.384 0.616 N
0.750 0.616 0.384 N
0.000 0.849 0.848 N
0.500 0.152 0.151 N
0.500 0.848 0.849 N
0.000 0.151 0.152 N
```

---

The following is a DFT calculation (PBE) of an optimized crystal structure of La5NbN8.

## Properties
Raw formation energy   -13.17 eV per formula unit
Space group   I-4 (82)

Cell and atoms, written as POSCAR:
```
La5NbN8
1.0
6.495 0.102 -0.175
-2.102 6.146 0.175
-2.291 -3.058 5.256
La Nb N
5 1 8
direct
0.011 0.364 0.105 La
0.895 0.906 0.259 La
0.741 0.636 0.646 La
0.500 0.000 0.500 La
0.354 0.094 0.989 La
0.250 0.500 0.750 Nb
0.141 0.721 0.034 N
0.966 0.107 0.687 N
0.883 0.374 0.428 N
0.572 0.455 0.947 N
0.492 0.545 0.117 N
0.580 0.893 0.859 N
0.313 0.279 0.420 N
0.053 0.626 0.508 N
```

---

The following is a DFT calculation (PBE) of an optimized crystal structure of LaNb2N4.

## Properties
Raw formation energy   -7.79 eV per formula unit
Space group   Cmcm (63)

Cell and atoms, written as POSCAR:
```
LaNb2N4
1.0
-2.772 -1.419 -0.819
3.744 -1.554 -3.651
2.469 -8.330 6.077
La Nb N
2 4 8
direct
0.615 0.230 0.750 La
0.385 0.770 0.250 La
0.130 0.259 0.436 Nb
0.870 0.741 0.936 Nb
0.130 0.259 0.064 Nb
0.870 0.741 0.564 Nb
0.766 0.532 0.108 N
0.766 0.532 0.392 N
0.234 0.468 0.892 N
0.234 0.468 0.608 N
0.928 0.856 0.750 N
0.072 0.144 0.250 N
0.500 0.000 0.000 N
0.500 0.000 0.500 N
```

---

The following is a DFT calculation (PBE) of an optimized crystal structure of La3Nb2N6.

## Properties
Raw formation energy   -14.41 eV per formula unit
Space group   I4/mmm (139)

Cell and atoms, written as POSCAR:
```
La3Nb2N6
1.0
-9.685 0.441 3.987
-8.842 -5.085 2.420
10.323 1.735 -0.566
Nb N La
2 6 3
direct
0.399 0.399 0.000 Nb
0.601 0.601 0.000 Nb
0.084 0.584 0.500 N
0.584 0.084 0.500 N
0.916 0.416 0.500 N
0.416 0.916 0.500 N
0.699 0.699 0.000 N
0.301 0.301 0.000 N
0.000 0.000 0.000 La
0.820 0.820 0.000 La
0.180 0.180 0.000 La
```

---

The following is a DFT calculation (PBE) of an optimized crystal structure of La3NbN.

## Properties
Raw formation energy   5.60 eV per formula unit
Space group   Pm-3m (221)

Cell and atoms, written as POSCAR:
```
La3NbN
1.0
5.432 0.000 0.000
0.000 5.432 0.000
0.000 0.000 5.432
Nb N La
1 1 3
direct
0.000 0.000 0.000 Nb
0.500 0.500 0.500 N
0.000 0.500 0.000 La
0.000 0.000 0.500 La
0.500 0.000 0.000 La
```

---

The following is a DFT calculation (PBE) of an optimized crystal structure of La2NbN4.

## Properties
Raw formation energy   -7.52 eV per formula unit
Space group   I4/mmm (139)

Cell and atoms, written as POSCAR:
```
La2NbN4
1.0
-0.816 -0.265 4.022
1.385 -3.872 0.026
6.104 0.023 3.342
Nb N La
1 4 2
direct
0.000 0.000 0.000 Nb
0.169 0.169 0.662 N
0.831 0.831 0.338 N
0.000 0.500 0.000 N
0.500 0.000 0.000 N
0.357 0.357 0.287 La
0.643 0.643 0.713 La
```

---

The following is a DFT calculation (PBE) of an optimized crystal structure of LaNd2NbN4.

## Properties
Raw formation energy   -9.08 eV per formula unit
Space group   Cmcm (63)

Cell and atoms, written as POSCAR:
```
LaNd2NbN4
1.0
-3.301 -0.530 1.106
-0.094 -0.967 -6.349
2.563 -12.173 1.817
La Nd Nb N
2 4 2 8
direct
0.093 0.187 0.750 La
0.907 0.813 0.250 La
0.370 0.740 0.536 Nd
0.630 0.260 0.036 Nd
0.630 0.260 0.464 Nd
0.370 0.740 0.964 Nd
0.833 0.665 0.750 Nb
0.167 0.335 0.250 Nb
0.265 0.531 0.129 N
0.735 0.469 0.629 N
0.735 0.469 0.871 N
0.265 0.531 0.371 N
0.000 0.000 0.500 N
0.000 0.000 0.000 N
0.434 0.868 0.750 N
0.566 0.132 0.250 N
```

---

The following is a DFT calculation (PBE) of an optimized crystal structure of La3Nd2NbN6.

## Properties
Raw formation energy   -15.29 eV per formula unit
Space group   C2/m (12)

Cell and atoms, written as POSCAR:
```
La3Nd2NbN6
1.0
-1.321 -4.135 4.415
5.884 0.976 -1.662
-1.058 5.250 3.161
La Nd Nb N
3 2 1 6
direct
0.164 0.836 0.500 La
0.836 0.164 0.500 La
0.500 0.500 0.500 La
0.333 0.667 0.000 Nd
0.667 0.333 0.000 Nd
0.000 0.000 0.000 Nb
0.926 0.630 0.779 N
0.777 0.777 0.230 N
0.074 0.370 0.221 N
0.630 0.926 0.779 N
0.223 0.223 0.770 N
0.370 0.074 0.221 N
```

---

The following is a DFT calculation (PBE) of an optimized crystal structure of LaNb2NiN4.

## Properties
Raw formation energy   -7.39 eV per formula unit
Space group   Cmcm (63)

Cell and atoms, written as POSCAR:
```
LaNb2NiN4
1.0
3.256 0.000 0.000
-1.628 5.397 0.000
0.000 0.000 10.889
La Nb Ni N
2 4 2 8
direct
0.105 0.209 0.750 La
0.895 0.791 0.250 La
0.369 0.737 0.556 Nb
0.631 0.263 0.056 Nb
0.631 0.263 0.444 Nb
0.369 0.737 0.944 Nb
0.837 0.673 0.750 Ni
0.163 0.327 0.250 Ni
0.271 0.541 0.108 N
0.729 0.459 0.608 N
0.729 0.459 0.892 N
0.271 0.541 0.392 N
0.000 0.000 0.500 N
0.000 0.000 0.000 N
0.441 0.881 0.750 N
0.559 0.119 0.250 N
```

---

The following is a DFT calculation (PBE) of an optimized crystal structure of La2Nb2N2O5.

## Properties
Raw formation energy   -27.24 eV per formula unit
Space group   Cmc2_1 (36)
Polymorph energy (0 for the lowest one)   0.003 eV/atom

Cell and atoms, written as POSCAR:
```
La2Nb2N2O5
1.0
13.361 0.014 0.000
-12.759 3.968 0.000
0.000 0.000 5.753
La Nb N O
4 4 4 10
direct
0.701 0.299 0.051 La
0.551 0.449 0.484 La
0.449 0.551 0.984 La
0.299 0.701 0.551 La
0.939 0.061 0.475 Nb
0.837 0.163 0.004 Nb
0.163 0.837 0.504 Nb
0.061 0.939 0.975 Nb
0.548 0.452 0.938 N
0.653 0.347 0.458 N
0.452 0.548 0.438 N
0.347 0.653 0.958 N
0.984 0.016 0.756 O
0.911 0.089 0.139 O
0.778 0.222 0.788 O
0.877 0.123 0.634 O
0.798 0.202 0.283 O
0.222 0.778 0.288 O
0.202 0.798 0.783 O
0.123 0.877 0.134 O
0.089 0.911 0.639 O
0.016 0.984 0.256 O
```

---

The following is a DFT calculation (PBE) of an optimized crystal structure of La2Nb2N2O5.

## Properties
Raw formation energy   -27.27 eV per formula unit
Space group   Cm (8)
Polymorph energy (0 for the lowest one)   0.000 eV/atom

Cell and atoms, written as POSCAR:
```
La2Nb2N2O5
1.0
-5.054 11.577 -6.060
-8.420 10.332 -4.318
1.291 3.196 4.777
La Nb N O
4 4 4 10
direct
0.719 0.719 0.545 La
0.557 0.557 0.050 La
0.445 0.445 0.550 La
0.286 0.286 0.059 La
0.943 0.943 0.035 Nb
0.846 0.846 0.549 Nb
0.163 0.163 0.058 Nb
0.056 0.056 0.538 Nb
0.905 0.905 0.297 N
0.893 0.893 0.776 N
0.210 0.210 0.284 N
0.092 0.092 0.797 N
0.989 0.989 0.667 O
0.789 0.789 0.772 O
0.787 0.787 0.289 O
0.543 0.543 0.479 O
0.650 0.650 0.023 O
0.457 0.457 0.975 O
0.212 0.212 0.805 O
0.346 0.346 0.495 O
0.103 0.103 0.272 O
0.009 0.009 0.166 O
```

---

The following is a DFT calculation (PBE) of an optimized crystal structure of La2Nb2N2O5.

## Properties
Raw formation energy   -27.15 eV per formula unit
Space group   C2 (5)
Polymorph energy (0 for the lowest one)   0.011 eV/atom

Cell and atoms, written as POSCAR:
```
La2Nb2N2O5
1.0
-5.262 -4.610 -3.027
4.797 -5.881 0.707
-2.190 -6.210 3.785
La Nb N O
4 4 4 10
direct
0.374 0.121 0.253 La
0.371 0.635 0.748 La
0.365 0.629 0.252 La
0.879 0.626 0.747 La
0.861 0.097 0.775 Nb
0.863 0.619 0.270 Nb
0.381 0.137 0.730 Nb
0.903 0.139 0.225 Nb
0.811 0.808 0.998 N
0.560 0.440 0.500 N
0.247 0.753 0.500 N
0.192 0.189 0.002 N
0.195 0.199 0.602 O
0.801 0.199 0.000 O
0.205 0.795 0.000 O
0.801 0.805 0.398 O
0.502 0.498 0.000 O
0.953 0.459 0.498 O
0.554 0.051 0.892 O
0.942 0.058 0.500 O
0.949 0.446 0.108 O
0.541 0.047 0.502 O
```

---

The following is a DFT calculation (PBE) of an optimized crystal structure of La2PaNbN4.

## Properties
Raw formation energy   -10.92 eV per formula unit
Space group   P2/m (10)

Cell and atoms, written as POSCAR:
```
La2PaNbN4
1.0
-3.161 -1.410 -0.134
1.106 -1.957 -5.502
1.779 -4.370 4.008
La Pa Nb N
2 1 1 4
direct
0.500 0.000 0.500 La
0.000 0.500 0.500 La
0.500 0.500 0.000 Pa
0.000 0.000 0.000 Nb
0.500 0.226 0.201 N
0.500 0.774 0.799 N
0.000 0.253 0.799 N
0.000 0.747 0.201 N
```

---

The following is a DFT calculation (PBE) of an optimized crystal structure of La2NbPbN.

## Properties
Raw formation energy   -3.32 eV per formula unit
Space group   P4/mmm (123)

Cell and atoms, written as POSCAR:
```
La2NbPbN
1.0
5.318 0.000 0.000
0.000 5.318 0.000
0.000 0.000 4.232
Pb Nb N La
1 1 1 2
direct
0.500 0.500 0.500 Pb
0.000 0.000 0.500 Nb
0.000 0.000 0.000 N
0.000 0.500 0.000 La
0.500 0.000 0.000 La
```

---

The following is a DFT calculation (PBE) of an optimized crystal structure of La2NbPdN.

## Properties
Raw formation energy   -3.20 eV per formula unit
Space group   P4/mmm (123)

Cell and atoms, written as POSCAR:
```
La2NbPdN
1.0
5.206 0.000 0.000
0.000 5.206 0.000
0.000 0.000 4.122
Nb N Pd La
1 1 1 2
direct
0.000 0.000 0.500 Nb
0.000 0.000 0.000 N
0.500 0.500 0.500 Pd
0.000 0.500 0.000 La
0.500 0.000 0.000 La
```

---

The following is a DFT calculation (PBE) of an optimized crystal structure of La2Pm3NbN6.

## Properties
Raw formation energy   -15.53 eV per formula unit
Space group   C2/m (12)

Cell and atoms, written as POSCAR:
```
La2Pm3NbN6
1.0
6.196 -0.004 0.004
-3.100 5.365 0.004
-1.029 -1.782 5.743
La Pm Nb N
2 3 1 6
direct
0.333 0.667 0.000 La
0.667 0.333 0.000 La
0.162 0.838 0.500 Pm
0.838 0.162 0.500 Pm
0.500 0.500 0.500 Pm
0.000 0.000 0.000 Nb
0.923 0.628 0.770 N
0.779 0.779 0.240 N
0.077 0.372 0.230 N
0.628 0.923 0.770 N
0.221 0.221 0.760 N
0.372 0.077 0.230 N
```